Record 1
The following is a DFT calculation (PBE) of DyErTlNi2 after structural relaxation.

As for the space group: Amm2, No. 38. The calculation puts the total energy at -25.1 eV per cell.

Cell: 3.6589 7.4447 7.4447 Å, 30.28 90.00 90.00°
With the nearest neighbours (Å) after each atom.
Atoms (fractional coordinates):
Tl  0.5000  0.0009  0.0009  2 Ni 2.86-2.90
Dy  0.0000  0.3608  0.3608  6 Ni 2.81-2.95
Ni  0.5000  0.1996  0.1996  2 Ni 2.41
Ni  0.5000  0.7988  0.7988  2 Ni 2.41
Er  0.0000  0.6398  0.6398  6 Ni 2.80-2.93

Record 2
The following is a DFT calculation (PBE) of DyEr2O4 after structural relaxation.

As for the space group: Fd-3m, No. 227. The calculation puts the total energy at -112.8 eV per cell.

Cell: 6.7003 6.7003 6.7003 Å, 119.99 90.01 119.99°
With the nearest neighbours (Å) after each atom.
Atoms (fractional coordinates):
O  0.1344  0.7310  0.8655  1 Dy 2.21, 3 Er 2.28
Er  0.3750  0.7500  0.1250  6 O 2.28
Er  0.3750  0.7500  0.6250  6 O 2.28
O  0.6155  0.2310  0.3844  1 Dy 2.21, 3 Er 2.28
O  0.6156  0.7690  0.3845  1 Dy 2.21, 3 Er 2.28
O  0.1344  0.2690  0.4034  1 Dy 2.21, 3 Er 2.28
Er  0.3750  0.2500  0.6250  6 O 2.28
O  0.5966  0.7310  0.8656  1 Dy 2.21, 3 Er 2.28
Dy  0.7500  0.5000  0.2500  4 O 2.21
O  0.1345  0.2690  0.8656  1 Dy 2.21, 3 Er 2.28
O  0.6156  0.2310  0.8466  1 Dy 2.21, 3 Er 2.28
Dy  0.0000  0.0000  0.0000  4 O 2.21
O  0.1534  0.7690  0.3844  1 Dy 2.21, 3 Er 2.28
Er  0.8750  0.2500  0.6250  6 O 2.28

Record 3
The following is a DFT calculation (PBE) of DyErSeO2 after structural relaxation.

As for the space group: P3m1, No. 156. The calculation puts the total energy at -38.2 eV per cell.

Cell: 3.8010 3.8010 6.7333 Å, 90.00 90.00 120.00°
With the nearest neighbours (Å) after each atom.
Atoms (fractional coordinates):
O  0.6667  0.3333  0.3752  1 Er 2.25, 3 Dy 2.27
Er  0.6667  0.3333  0.7092  4 O 2.25-2.26
O  0.0000  0.0000  0.6280  3 Er 2.26, 1 Dy 2.28
Dy  0.0000  0.0000  0.2898  4 O 2.27-2.28
Se  0.3333  0.6667  0.9978  3 Er 2.93, 3 Dy 2.95

Record 4
The following is a DFT calculation (PBE) of DyErOs after structural relaxation.

Its calculated formation energy is 0.726 eV per atom. As for the space group: F-43m, No. 216. The calculation puts the total energy at -18.2 eV per cell.

Cell: 4.7027 4.7027 4.7027 Å, 60.00 60.00 60.00°
With the nearest neighbours (Å) after each atom.
Atoms (fractional coordinates):
Er  0.2500  0.2500  0.2500  4 Dy 2.88
Os  0.7500  0.7500  0.7500  4 Dy 2.88
Dy  0.0000  0.0000  0.0000  4 Er 2.88, 4 Os 2.88

Record 5
The following is a DFT calculation (PBE) of DyEr6Os2 after structural relaxation.

Its calculated formation energy is 0.066 eV per atom. As for the space group: P4/mmm, No. 123. The calculation puts the total energy at -53.8 eV per cell.

Cell: 5.3570 5.3573 10.8441 Å, 90.00 90.00 90.00°
With the nearest neighbours (Å) after each atom.
Atoms (fractional coordinates):
Os  0.5000  0.5000  0.7428  6 Er 2.63-2.79
Os  0.5000  0.5000  0.2572  6 Er 2.63-2.79
Er  0.0000  0.5000  0.7621  2 Os 2.69
Er  0.5000  0.5000  0.5000  2 Os 2.63
Er  0.5000  0.5000  0.0000  2 Os 2.79
Er  0.5000  0.0000  0.7620  2 Os 2.69
Er  0.5000  0.0000  0.2380  2 Os 2.69
Er  0.0000  0.5000  0.2379  2 Os 2.69
Dy  0.0000  0.0000  0.0000  12 Er 3.72-3.79

Record 6
The following is a DFT calculation (PBE) of DyY3Er2P2Os after structural relaxation.

As for the space group: Amm2, No. 38. The calculation puts the total energy at -61.9 eV per cell.

Cell: 4.1372 7.7350 7.7350 Å, 120.28 90.00 90.00°
With the nearest neighbours (Å) after each atom.
Atoms (fractional coordinates):
Y  0.5000  0.4084  0.4084  1 Os 3.12, 4 P 3.14, 2 Dy 3.35, 4 Er 3.44
Os  0.5000  0.0039  0.0039  4 Er 2.82, 2 Dy 2.84, 1 Y 3.12
Er  0.0000  0.0000  0.2493  2 Os 2.82, 2 P 2.94
Y  0.5000  0.5890  0.9999  4 P 3.11, 1 Os 3.19, 4 Er 3.35-3.45, 2 Dy 3.46
Dy  0.0000  0.7513  0.7513  2 Os 2.84, 2 P 2.97
P  0.0000  0.6672  0.3312  2 Er 2.94, 1 Dy 2.97, 6 Y 3.11-3.14
P  0.0000  0.3312  0.6672  2 Er 2.94, 1 Dy 2.97, 6 Y 3.11-3.14
Er  0.0000  0.2493  0.0000  2 Os 2.82, 2 P 2.94
Y  0.5000  0.9999  0.5890  4 P 3.11, 1 Os 3.19, 4 Er 3.35-3.45, 2 Dy 3.46

Record 7
The following is a DFT calculation (PBE) of Dy2Y3ErP2Os after structural relaxation.

As for the space group: Amm2, No. 38. The calculation puts the total energy at -61.9 eV per cell.

Cell: 4.1384 7.7279 7.7279 Å, 119.67 90.00 90.00°
With the nearest neighbours (Å) after each atom.
Atoms (fractional coordinates):
P  0.0000  0.3355  0.6661  1 Er 2.94, 2 Dy 2.97, 6 Y 3.10-3.14
Os  0.5000  0.9957  0.9957  2 Er 2.81, 4 Dy 2.84, 2 Y 3.15
Y  0.5000  0.0002  0.5908  4 P 3.13-3.14, 1 Os 3.15, 4 Dy 3.35-3.46, 2 Er 3.45
Dy  0.0000  0.0002  0.2495  2 Os 2.84, 2 P 2.97
Y  0.5000  0.4121  0.4121  4 P 3.10, 1 Os 3.23, 2 Er 3.34, 4 Dy 3.47
Er  0.0000  0.7500  0.7500  2 Os 2.81, 2 P 2.94
Dy  0.0000  0.2495  0.0002  2 Os 2.84, 2 P 2.97
P  0.0000  0.6661  0.3355  1 Er 2.94, 2 Dy 2.97, 6 Y 3.10-3.14
Y  0.5000  0.5908  0.0002  4 P 3.13-3.14, 1 Os 3.15, 4 Dy 3.35-3.46, 2 Er 3.45

Record 8
The following is a DFT calculation (PBE) of Dy2ErSc3Sb2Os after structural relaxation.

As for the space group: Amm2, No. 38. The calculation puts the total energy at -58.9 eV per cell.

Cell: 4.1813 7.8024 7.8024 Å, 120.02 90.00 90.00°
With the nearest neighbours (Å) after each atom.
Atoms (fractional coordinates):
Os  0.0000  0.9982  0.9982  6 Sc 2.74-2.75, 1 Er 3.05
Er  0.0000  0.6070  0.6070  1 Os 3.05, 4 Sb 3.18, 4 Sc 3.39
Sc  0.5000  0.9996  0.7718  2 Os 2.74
Sc  0.5000  0.2275  0.2275  2 Os 2.75, 2 Sc 3.08
Dy  0.0000  0.0004  0.3945  1 Os 3.08, 4 Sb 3.18-3.19, 4 Sc 3.39-3.40
Sb  0.5000  0.3345  0.6666  3 Sc 3.09-3.11, 2 Er 3.18, 4 Dy 3.18-3.19
Sb  0.5000  0.6666  0.3345  3 Sc 3.09-3.11, 2 Er 3.18, 4 Dy 3.18-3.19
Sc  0.5000  0.7718  0.9996  2 Os 2.74
Dy  0.0000  0.3945  0.0004  1 Os 3.08, 4 Sb 3.18-3.19, 4 Sc 3.39-3.40

Among the records above, which one has the lowest total energy?
DyEr2O4